No. 1
Compound: AgPRu2
Source: Alexandria
Functional: PBE
Structure: relaxed

Results
ΔE_f in eV/atom: 0.08
Distance to the lowest polymorph of the same formula in meV per atom: 106

Unit cell a=2.874 b=4.600 c=8.816 alpha=90.00 beta=90.00 gamma=90.00
Space group Immm (No. 71)
Unique sites:
Ag  0.000  0.000  0.000
P  0.000  0.000  0.500
Ru  0.000  0.500  0.206

---

No. 2
Compound: RbMg6BO7
Source: Alexandria
Functional: PBE
Structure: relaxed

Results
Uncorrected formation energy in meV per atom: -1547
Distance to the lowest polymorph of the same formula in meV per atom: 281

Unit cell a=4.557 b=4.557 c=8.771 alpha=90.00 beta=90.00 gamma=90.00
Space group P4mm (No. 99)
Unique sites:
Rb  0.000  0.000  0.000
Mg  0.000  0.000  0.498
Mg  0.000  0.500  0.233
Mg  0.000  0.500  0.746
Mg  0.500  0.500  0.482
B  0.500  0.500  0.952
O  0.000  0.000  0.278
O  0.000  0.000  0.717
O  0.000  0.500  0.503
O  0.000  0.500  0.982
O  0.500  0.500  0.794

---

No. 3
Compound: AcCd2Rh
Source: Alexandria
Functional: PBE
Structure: relaxed

Results
ΔE_f in eV/atom: -0.21
Distance to the lowest polymorph of the same formula in meV per atom: 257

Unit cell a=4.6772 b=4.6772 c=16.5233 alpha=90.00 beta=90.00 gamma=120.00
Space group R-3m (No. 166, hexagonal axes)
Unique sites:
Ac  0.0000  0.0000  0.0000
Cd  0.0000  0.0000  0.2090
Rh  0.0000  0.0000  0.5000

---

No. 4
Compound: Tb5PrTm6
Source: Alexandria
Functional: PBE
Structure: relaxed

Results
ΔE_f in eV/atom: 0.11
Distance to the lowest polymorph of the same formula in meV per atom: 85

Unit cell a=5.738 b=7.456 c=17.750 alpha=90.00 beta=90.00 gamma=90.00
Space group Immm (No. 71)
Unique sites:
Tb  0.000  0.000  0.000
Tb  0.000  0.000  0.346
Tb  0.000  0.500  0.347
Pr  0.000  0.500  0.000
Tm  0.000  0.250  0.181
Tm  0.000  0.251  0.500

---

No. 5
Compound: CsSrNi2Br8
Source: Alexandria
Functional: PBE
Structure: relaxed

Results
Uncorrected formation energy in meV per atom: -936

Unit cell a=6.9523 b=6.9523 c=10.4798 alpha=90.00 beta=90.00 gamma=120.00
Space group P-3 (No. 147)
Unique sites:
Cs  0.0000  0.0000  0.0000
Sr  0.0000  0.0000  0.5000
Ni  0.3333  0.6667  0.7476
Br  0.0007  0.3459  0.6854
Br  0.3333  0.6667  0.9689

---

No. 6
Compound: PmEr3Tl4
Source: Alexandria
Functional: PBE
Structure: relaxed

Results
ΔE_f in eV/atom: -0.20
Distance to the lowest polymorph of the same formula in meV per atom: 129

Unit cell a=3.501 b=7.220 c=18.538 alpha=90.00 beta=90.00 gamma=90.00
Space group Immm (No. 71)
Unique sites:
Pm  0.000  0.000  0.000
Er  0.000  0.000  0.500
Er  0.000  0.500  0.280
Tl  0.000  0.286  0.129

---

No. 7
Compound: TlFeMo
Source: Alexandria
Functional: PBE
Structure: relaxed

Results
ΔE_f in eV/atom: 0.63
Distance to the lowest polymorph of the same formula in meV per atom: 131

Unit cell a=3.243 b=4.820 c=13.503 alpha=90.00 beta=90.00 gamma=90.00
Space group Fmm2 (No. 42)
Unique sites:
Tl  0.000  0.000  0.000
Fe  0.000  0.000  0.325
Mo  0.000  0.000  0.687

---

No. 8
Compound: LiAsIr
Source: Alexandria
Functional: PBE
Structure: relaxed

Results
ΔE_f in eV/atom: -0.40

Unit cell a=4.483 b=4.589 c=5.122 alpha=86.01 beta=65.48 gamma=76.96
Space group P-1 (No. 2)
Unique sites:
Li  0.048  0.252  0.373
As  0.315  0.283  0.775
Ir  0.279  0.781  0.007

---

Repeat the fifth record exactly.
Compound: CsSrNi2Br8
Source: Alexandria
Functional: PBE
Structure: relaxed

Results
Uncorrected formation energy in meV per atom: -936

Unit cell a=6.9523 b=6.9523 c=10.4798 alpha=90.00 beta=90.00 gamma=120.00
Space group P-3 (No. 147)
Unique sites:
Cs  0.0000  0.0000  0.0000
Sr  0.0000  0.0000  0.5000
Ni  0.3333  0.6667  0.7476
Br  0.0007  0.3459  0.6854
Br  0.3333  0.6667  0.9689

---

Q: Number 5 is which compound?
A: CsSrNi2Br8